## TlCu2IrSe4 (PBE-GGA)

Data for a relaxed TlCu2IrSe4 crystal.

Lattice parameters (Å, degrees): 5.809 5.809 11.581 90.00 90.00 90.00
Sites, in units of the cell vectors:
Tl 0.000 0.000 0.000
Tl 0.500 0.500 0.500
Cu 0.000 0.000 0.500
Cu 0.000 0.500 0.750
Cu 0.500 0.000 0.250
Cu 0.500 0.500 0.000
Ir 0.000 0.500 0.250
Ir 0.500 0.000 0.750
Se 0.212 0.781 0.358
Se 0.219 0.212 0.642
Se 0.281 0.288 0.142
Se 0.288 0.719 0.858
Se 0.712 0.281 0.858
Se 0.719 0.712 0.142
Se 0.781 0.788 0.642
Se 0.788 0.219 0.358

## Properties
ρ = 7.1 g/cm³
VASP energy = -4.152 eV per atom
SG = I-4 (82)